An optimized crystal structure of Sc2Al2C3, computed with GGA-PBE.

a b c (Å): 5.691 5.691 5.399
angles (deg): 110.64 110.64 33.92
Sites, in units of the cell vectors:
Sc 0.127 0.127 0.286
Sc 0.873 0.873 0.714
Al 0.354 0.354 0.136
Al 0.646 0.646 0.864
C 0.205 0.205 0.729
C 0.500 0.500 0.000
C 0.795 0.795 0.271

Results
M_tot, μB per formula unit: 0.0
SG: C2/m (12)
Calculated total energy, eV/f.u.: -49.9
Formation enthalpy at 0 K, meV per atom: -295
Crystal system: monoclinic

An optimized crystal structure of ScAl2C, computed with GGA-PBE.

a b c (Å): 5.513 5.513 5.513
angles (deg): 100.90 100.90 128.44
Sites, in units of the cell vectors:
Sc 0.000 0.000 0.000
Sc 0.750 0.250 0.500
Al 0.221 0.625 0.096
Al 0.375 0.471 0.596
Al 0.529 0.125 0.904
Al 0.875 0.779 0.404
C 0.250 0.750 0.500
C 0.500 0.500 0.000

Results
M_tot, μB per formula unit: 0.0
SG: I-42d (122)
Calculated total energy, eV/f.u.: -23.1
Formation enthalpy at 0 K, meV per atom: -19
Crystal system: tetragonal

An optimized crystal structure of Sc2AlSiC, computed with GGA-PBE.

a b c (Å): 4.498 4.498 3.919
angles (deg): 90.00 90.00 90.00
Sites, in units of the cell vectors:
Sc 0.000 0.500 0.000
Sc 0.500 0.000 0.000
Al 0.000 0.000 0.500
Si 0.500 0.500 0.500
C 0.000 0.000 0.000

Results
ΔE_f (raw), eV per atom: -0.49
M_tot, μB per formula unit: 0.0
SG: P4/mmm (123)
Calculated total energy, eV/f.u.: -33.5
Crystal system: tetragonal

An optimized crystal structure of Sm2ScAlC, computed with GGA-PBE.

a b c (Å): 5.057 5.057 4.512
angles (deg): 90.00 90.00 90.00
Sites, in units of the cell vectors:
Sm 0.000 0.500 0.000
Sm 0.500 0.000 0.000
Sc 0.000 0.000 0.500
Al 0.500 0.500 0.500
C 0.000 0.000 0.000

Results
M_tot, μB per formula unit: 0.0
SG: P4/mmm (123)
Calculated total energy, eV/f.u.: -30.5
Formation enthalpy at 0 K, meV per atom: -347
Crystal system: tetragonal

An optimized crystal structure of ScTa2AlC, computed with GGA-PBE.

a b c (Å): 4.275 4.275 4.489
angles (deg): 90.00 90.00 90.00
Sites, in units of the cell vectors:
Sc 0.000 0.000 0.000
Ta 0.000 0.500 0.500
Ta 0.500 0.000 0.500
Al 0.500 0.500 0.000
C 0.000 0.000 0.500

Results
M_tot, μB per formula unit: 0.0
SG: P4/mmm (123)
Calculated total energy, eV/f.u.: -44.5
Formation enthalpy at 0 K, meV per atom: -300
Crystal system: tetragonal

An optimized crystal structure of Sc2TaAlC, computed with GGA-PBE.

a b c (Å): 4.459 4.459 4.311
angles (deg): 90.00 90.00 90.00
Sites, in units of the cell vectors:
Sc 0.000 0.500 0.000
Sc 0.500 0.000 0.000
Ta 0.000 0.000 0.500
Al 0.500 0.500 0.500
C 0.000 0.000 0.000

Results
M_tot, μB per formula unit: 0.0
SG: P4/mmm (123)
Calculated total energy, eV/f.u.: -39.7
Formation enthalpy at 0 K, meV per atom: -445
Crystal system: tetragonal

An optimized crystal structure of Sc2AlTcC, computed with GGA-PBE.

a b c (Å): 4.514 4.514 3.994
angles (deg): 90.00 90.00 90.00
Sites, in units of the cell vectors:
Sc 0.000 0.500 0.000
Sc 0.500 0.000 0.000
Al 0.000 0.000 0.500
Tc 0.500 0.500 0.500
C 0.500 0.500 0.000

Results
M_tot, μB per formula unit: 0.0
SG: P4/mmm (123)
Calculated total energy, eV/f.u.: -38.4
Formation enthalpy at 0 K, meV per atom: -482
Crystal system: tetragonal

An optimized crystal structure of ScAlTc2C, computed with GGA-PBE.

a b c (Å): 4.089 4.089 4.350
angles (deg): 90.00 90.00 90.00
Sites, in units of the cell vectors:
Sc 0.000 0.000 0.000
Al 0.500 0.500 0.000
Tc 0.000 0.500 0.500
Tc 0.500 0.000 0.500
C 0.000 0.000 0.500

Results
M_tot, μB per formula unit: 0.0
SG: P4/mmm (123)
Calculated total energy, eV/f.u.: -41.2
Formation enthalpy at 0 K, meV per atom: -227
Crystal system: tetragonal

The lowest calculated total energy belongs to which entry?
Sc2Al2C3

Among the records above, which one has the lowest calculated total energy?
Sc2Al2C3